[1]
This record from the Alexandria database describes a relaxed Nb4SiC crystal. The functional is GGA-PBE.

final energy	-9.3695	eV/atom
SG	P2_1/c (14)
crystal system	monoclinic
spin magnetization	0.000	μB per formula unit

abc: 5.654 5.694 6.095
angles: 90.00 99.53 90.00
Fractional positions:
Nb (0.103, 0.165, 0.192)
Nb (0.103, 0.335, 0.692)
Nb (0.348, 0.628, 0.115)
Nb (0.348, 0.872, 0.615)
Nb (0.652, 0.128, 0.385)
Nb (0.652, 0.372, 0.885)
Nb (0.897, 0.665, 0.308)
Nb (0.897, 0.835, 0.808)
Si (0.500, 0.000, 0.000)
Si (0.500, 0.500, 0.500)
C (0.000, 0.000, 0.500)
C (0.000, 0.500, 0.000)

---

[2]
This record from the Alexandria database describes a relaxed Nb5SiC crystal. The functional is GGA-PBE.

final energy	-9.4711	eV/atom
SG	C2/c (15)
crystal system	monoclinic
spin magnetization	0.000	μB per formula unit

abc: 5.611 5.611 9.007
angles: 110.69 110.69 61.37
Fractional positions:
Nb (0.020, 0.980, 0.750)
Nb (0.023, 0.394, 0.616)
Nb (0.189, 0.546, 0.953)
Nb (0.394, 0.023, 0.116)
Nb (0.454, 0.811, 0.547)
Nb (0.546, 0.189, 0.453)
Nb (0.606, 0.977, 0.884)
Nb (0.811, 0.454, 0.047)
Nb (0.977, 0.606, 0.384)
Nb (0.980, 0.020, 0.250)
Si (0.492, 0.508, 0.250)
Si (0.508, 0.492, 0.750)
C (0.000, 0.000, 0.000)
C (0.000, 0.000, 0.500)

---

[3]
This record from the Alexandria database describes a relaxed Nb4Si2C crystal. The functional is GGA-PBE.

final energy	-9.1491	eV/atom
SG	Pbam (55)
crystal system	orthorhombic
spin magnetization	0.000	μB per formula unit

abc: 6.882 9.806 3.247
angles: 90.00 90.00 90.00
Fractional positions:
Nb (0.135, 0.201, 0.000)
Nb (0.190, 0.927, 0.500)
Nb (0.310, 0.427, 0.500)
Nb (0.365, 0.701, 0.000)
Nb (0.635, 0.299, 0.000)
Nb (0.690, 0.573, 0.500)
Nb (0.810, 0.073, 0.500)
Nb (0.865, 0.799, 0.000)
Si (0.070, 0.642, 0.500)
Si (0.430, 0.142, 0.500)
Si (0.570, 0.858, 0.500)
Si (0.930, 0.358, 0.500)
C (0.000, 0.000, 0.000)
C (0.500, 0.500, 0.000)

---

[4]
This record from the Alexandria database describes a relaxed Nb6Si3C crystal. The functional is GGA-PBE.

final energy	-8.7630	eV/atom
SG	C2/m (12)
crystal system	monoclinic
spin magnetization	0.000	μB per formula unit

abc: 6.016 6.016 6.970
angles: 121.10 121.10 55.78
Fractional positions:
Nb (0.168, 0.677, 0.649)
Nb (0.228, 0.228, 0.839)
Nb (0.323, 0.832, 0.351)
Nb (0.677, 0.168, 0.649)
Nb (0.772, 0.772, 0.161)
Nb (0.832, 0.323, 0.351)
Si (0.256, 0.256, 0.239)
Si (0.500, 0.500, 0.000)
Si (0.744, 0.744, 0.761)
C (0.000, 0.000, 0.500)

---

[5]
This record from the Alexandria database describes a relaxed Nb7Si2C2 crystal. The functional is GGA-PBE.

final energy	-9.3670	eV/atom
SG	Imm2 (44)
crystal system	orthorhombic
spin magnetization	0.000	μB per formula unit

abc: 7.879 7.879 7.879
angles: 156.64 64.34 121.00
Fractional positions:
Nb (0.000, 0.000, 0.000)
Nb (0.074, 0.392, 0.682)
Nb (0.097, 0.751, 0.346)
Nb (0.406, 0.751, 0.654)
Nb (0.461, 0.590, 0.871)
Nb (0.710, 0.392, 0.318)
Nb (0.719, 0.590, 0.129)
Si (0.338, 0.338, 0.000)
Si (0.736, 0.236, 0.500)
C (0.347, 0.099, 0.248)
C (0.851, 0.099, 0.752)

---

[6]
This record from the Alexandria database describes a relaxed Nb4SiC3 crystal. The functional is GGA-PBE.

final energy	-9.6851	eV/atom
SG	P6_3/mmc (194)
crystal system	hexagonal
spin magnetization	0.000	μB per formula unit

abc: 3.201 3.201 23.028
angles: 90.00 90.00 120.00
Fractional positions:
Nb (0.000, 0.000, 0.165)
Nb (0.000, 0.000, 0.335)
Nb (0.000, 0.000, 0.665)
Nb (0.000, 0.000, 0.835)
Nb (0.333, 0.667, 0.058)
Nb (0.333, 0.667, 0.442)
Nb (0.667, 0.333, 0.558)
Nb (0.667, 0.333, 0.942)
Si (0.333, 0.667, 0.250)
Si (0.667, 0.333, 0.750)
C (0.000, 0.000, 0.000)
C (0.000, 0.000, 0.500)
C (0.333, 0.667, 0.613)
C (0.333, 0.667, 0.887)
C (0.667, 0.333, 0.113)
C (0.667, 0.333, 0.387)

---

What is the final energy in the fourth record?
-8.7630 eV/atom

---

The lowest final energy belongs to which entry?
Nb4SiC3

---

Among the records above, which one has the lowest final energy?
Nb4SiC3

---

spin magnetization of number 4 (Nb6Si3C)?
0.000 μB per formula unit